# 1
Below is a relaxed Cu2PbW crystal, with properties calculated at the GGA-PBE level.

```
Cu2PbW
1.0
-1.3893 1.1272 2.3322
-2.5862 -0.7557 -1.1749
0.4083 -7.1452 3.6968
Cu Pb W
2 1 1
Direct
0.0000 0.0000 0.5401 Cu
0.0000 0.0000 0.9599 Cu
0.5000 0.5000 0.2500 Pb
0.5000 0.5000 0.7500 W
```

Values from the calculation:
The crystal system is tetragonal. As for the calculated formation energy: 51.06 kJ per mole of atoms. As for the uncorrected energy: -5.684 eV/atom. Its space group is P4/mmm, No. 123.


# 2
Below is a relaxed Cu2PbW crystal, with properties calculated at the GGA-PBE level.

```
Cu2PbW
1.0
-1.2945 -2.6402 -3.4976
2.3685 -3.7742 -1.0124
-1.8141 -4.1178 0.7950
Cu W Pb
2 1 1
Direct
0.2500 0.2500 0.2500 Cu
0.0000 0.0000 0.0000 Cu
0.7500 0.7500 0.7500 W
0.5000 0.5000 0.5000 Pb
```

Values from the calculation:
The crystal system is cubic. As for the calculated formation energy: 87.35 kJ per mole of atoms. As for the uncorrected energy: -5.308 eV/atom. Its space group is F-43m, No. 216.


# 3
Below is a relaxed Cu2Pb2W crystal, with properties calculated at the GGA-PBE level.

```
Cu2Pb2W
1.0
3.4261 0.0000 0.0000
0.0000 3.4261 0.0000
1.7130 1.7130 8.2209
Pb W Cu
2 1 2
Direct
0.6058 0.6058 0.7885 Pb
0.3942 0.3942 0.2115 Pb
0.0000 0.0000 0.0000 W
0.2500 0.7500 0.5000 Cu
0.7500 0.2500 0.5000 Cu
```

Values from the calculation:
The crystal system is tetragonal. As for the calculated formation energy: 72.29 kJ per mole of atoms. As for the uncorrected energy: -4.963 eV/atom. As for the polymorph energy (0 for the lowest one): 0.000 eV per formula unit. Its space group is I4/mmm, No. 139.


# 4
Below is a relaxed Cu3PbW crystal, with properties calculated at the GGA-PBE level.

```
Cu3PbW
1.0
-3.1396 -1.2473 3.3806
2.2311 -4.1938 0.5247
2.8295 1.9228 3.3373
Pb W Cu
1 1 3
Direct
0.5000 0.5000 0.5000 Pb
0.0000 0.0000 0.0000 W
0.0000 0.5000 0.0000 Cu
0.5000 0.0000 0.0000 Cu
0.0000 0.0000 0.5000 Cu
```

Values from the calculation:
The crystal system is cubic. As for the calculated formation energy: 127.11 kJ per mole of atoms. As for the uncorrected energy: -4.473 eV/atom. As for the polymorph energy (0 for the lowest one): 0.000 eV per formula unit. Its space group is Pm-3m, No. 221.


# 5
Below is a relaxed Cu2PbW crystal, with properties calculated at the GGA-PBE level.

```
Cu2PbW
1.0
-2.1281 1.2889 -1.7671
-2.0548 -2.0150 1.0150
-1.7482 4.4944 5.3836
Pb W Cu
1 1 2
Direct
0.0000 0.0000 0.4902 Pb
0.5000 0.5000 0.8055 W
0.5000 0.5000 0.1899 Cu
0.0000 0.0000 0.0144 Cu
```

Values from the calculation:
The crystal system is orthorhombic. As for the calculated formation energy: 56.28 kJ per mole of atoms. As for the uncorrected energy: -5.630 eV/atom. Its space group is Cmm2, No. 35.


# 6
Below is a relaxed CuPbW crystal, with properties calculated at the GGA-PBE level.

```
CuPbW
1.0
4.6222 0.0000 0.0000
-2.3111 4.0029 0.0000
0.0000 0.0000 2.8713
Pb Cu W
1 1 1
Direct
0.3333 0.6667 0.1682 Pb
0.0000 0.0000 0.1649 Cu
0.6667 0.3333 0.6669 W
```

Values from the calculation:
The crystal system is trigonal. As for the calculated formation energy: 94.65 kJ per mole of atoms. As for the uncorrected energy: -5.938 eV/atom. As for the polymorph energy (0 for the lowest one): 0.531 eV per formula unit. Its space group is P3m1, No. 156.


# 7
Below is a relaxed YCu2Pb2 crystal, with properties calculated at the GGA-PBE level.

```
YCu2Pb2
1.0
-2.1746 7.8141 -1.3175
-6.3553 -2.5358 -4.5502
-1.9190 -0.0751 2.7221
Y Pb Cu
2 4 4
Direct
0.0000 0.0000 0.0000 Y
0.5000 0.5000 0.0000 Y
0.1434 0.3566 0.0000 Pb
0.8566 0.6434 0.0000 Pb
0.6434 0.1434 0.0000 Pb
0.3566 0.8566 0.0000 Pb
0.1542 0.6542 0.5000 Cu
0.3458 0.1542 0.5000 Cu
0.8458 0.3458 0.5000 Cu
0.6542 0.8458 0.5000 Cu
```

Values from the calculation:
The crystal system is tetragonal. As for the calculated formation energy: 9.89 kJ per mole of atoms. As for the uncorrected energy: -4.312 eV/atom. As for the polymorph energy (0 for the lowest one): 0.830 eV per formula unit. Its space group is P4/mbm, No. 127.


# 8
Below is a relaxed YCuPb3 crystal, with properties calculated at the GGA-PBE level.

```
YCuPb3
1.0
5.9203 0.0000 0.0000
0.0000 5.9203 0.0000
0.0000 0.0000 5.9203
Pb Cu Y
3 1 1
Direct
0.0000 0.0000 0.5000 Pb
0.0000 0.5000 0.0000 Pb
0.5000 0.0000 0.0000 Pb
0.5000 0.5000 0.5000 Cu
0.0000 0.0000 0.0000 Y
```

Values from the calculation:
The crystal system is cubic. As for the calculated formation energy: 81.37 kJ per mole of atoms. As for the uncorrected energy: -3.494 eV/atom. As for the polymorph energy (0 for the lowest one): 3.527 eV per formula unit. Its space group is Pm-3m, No. 221.